Sr2Sn2Hg at its PBEsol-relaxed geometry, computed with SCAN.

Structure (POSCAR):
```
Sr2Sn2Hg
1.0
7.8054 0.0000 0.0000
0.0000 7.8054 0.0000
0.0000 0.0000 5.0037
Sr Sn Hg
4 4 2
direct
0.1684 0.3316 0.0000
0.3316 0.8316 0.0000
0.6684 0.1684 0.0000
0.8316 0.6684 0.0000
0.1348 0.6348 0.5000
0.3652 0.1348 0.5000
0.6348 0.8652 0.5000
0.8652 0.3652 0.5000
0.0000 0.0000 0.5000
0.5000 0.5000 0.5000
```

Results
Magnetic moment in μB per atom: 0.001
Density in g cm⁻³: 6.68
VASP energy in eV/cell: -375.03